Here is an optimized crystal structure of AcBePt from Alexandria via LeMat-Bulk. Energies are from PBE-GGA.

## Properties
Its energy relative to the elements is -0.63 eV/atom. For the distance to the lowest polymorph of the same formula, the calculation gives 0.084 eV/atom. The total energy comes out at -5.255 eV/atom.

Cell and atoms, written as extended XYZ:
```
9
Lattice="4.093 0.000 0.000 0.000 6.948 3.603 0.000 -6.948 3.603" Properties=species:S:1:pos:R:3 pbc="T T T"
Ac 0.000 0.000 0.000
Ac 0.000 -2.752 2.505
Ac 0.000 2.752 2.505
Be 2.046 0.000 3.080
Be 2.046 -1.186 4.976
Be 2.046 1.186 4.976
Pt 0.000 0.000 4.080
Pt 2.046 -4.718 3.546
Pt 2.046 4.718 3.546
```


Here is an optimized crystal structure of U2P from Alexandria via LeMat-Bulk. Energies are from PBE-GGA.

## Properties
Its energy relative to the elements is -0.54 eV/atom. The total energy comes out at -9.873 eV/atom.

Cell and atoms, written as extended XYZ:
```
3
Lattice="2.586 -2.576 0.000 2.586 2.576 0.000 -1.951 0.000 4.173" Properties=species:S:1:pos:R:3 pbc="T T T"
U 0.069 0.000 1.301
U 3.152 0.000 2.873
P 2.586 0.000 0.000
```


Here is an optimized crystal structure of Tb2Sm4Ge3O2 from Alexandria via LeMat-Bulk. Energies are from PBE-GGA.

## Properties
The formation energy (no corrections) comes out at -1511 meV/atom. The total energy comes out at -6.230 eV/atom.

Cell and atoms, written as extended XYZ:
```
11
Lattice="-2.322 2.322 12.017 2.322 -2.322 12.017 2.322 2.322 -12.017" Properties=species:S:1:pos:R:3 pbc="T T T"
Tb 0.000 0.000 4.778
Tb 0.000 0.000 19.256
Sm 2.322 0.000 1.939
Sm 2.322 0.000 10.078
Sm 0.000 2.322 1.939
Sm 0.000 2.322 10.078
Ge 0.000 0.000 7.765
Ge 0.000 0.000 12.017
Ge 0.000 0.000 16.270
O 0.000 0.000 2.503
O 0.000 0.000 21.531
```


Here is an optimized crystal structure of RePIr2 from Alexandria via LeMat-Bulk. Energies are from PBE-GGA.

## Properties
Its energy relative to the elements is 0.38 eV/atom. The total energy comes out at -8.519 eV/atom.

Cell and atoms, written as extended XYZ:
```
4
Lattice="4.643 0.000 0.000 0.000 4.643 0.000 0.000 0.000 2.733" Properties=species:S:1:pos:R:3 pbc="T T T"
Re 0.000 0.000 0.000
P 2.322 2.322 0.000
Ir 0.000 2.322 1.367
Ir 2.322 0.000 1.367
```


Here is an optimized crystal structure of Np3Tl4Te8Pd from Alexandria via LeMat-Bulk. Energies are from PBE-GGA.

## Properties
The formation energy (no corrections) comes out at -453 meV/atom. The total energy comes out at -5.366 eV/atom.

Cell and atoms, written as extended XYZ:
```
16
Lattice="4.363 2.519 8.190 -4.363 2.519 8.190 0.000 -5.038 8.190" Properties=species:S:1:pos:R:3 pbc="T T T"
Np -2.182 -1.260 8.190
Np -2.182 1.260 16.381
Np 0.000 2.519 8.190
Tl -4.363 0.000 12.286
Tl -2.182 1.260 4.095
Tl 2.182 1.260 4.095
Tl 0.000 0.000 12.286
Te 0.000 -2.633 9.868
Te -2.281 1.317 9.868
Te -2.281 -1.317 14.703
Te 0.000 0.000 6.401
Te 0.000 0.000 18.170
Te 2.281 1.317 9.868
Te 2.281 -1.317 14.703
Te 0.000 2.633 14.703
Pd 0.000 0.000 0.000
```


Here is an optimized crystal structure of SrMg2Ga2Pd2 from Alexandria via LeMat-Bulk. Energies are from PBE-GGA.

## Properties
Its energy relative to the elements is -0.54 eV/atom. The total energy comes out at -3.585 eV/atom.

Cell and atoms, written as extended XYZ:
```
7
Lattice="2.221 1.282 8.548 -2.221 1.282 8.548 0.000 -2.564 8.548" Properties=species:S:1:pos:R:3 pbc="T T T"
Sr 0.000 0.000 0.000
Mg 0.000 0.000 3.524
Mg 0.000 0.000 22.119
Ga 0.000 0.000 6.430
Ga 0.000 0.000 19.212
Pd 0.000 0.000 11.234
Pd 0.000 0.000 14.409
```